Tb2Dy6Ho3 PBE-GGA optimized geometry; M_tot = 0.0000 μB per atom; crystal system = trigonal; distance to the lowest polymorph of the same formula = 0 meV/atom; energy of formation = 0.018 eV per atom
1.0
-0.4750 -1.0268 3.3478
-0.2413 -3.4390 0.7760
31.1273 -2.7740 5.4311
Tb Dy Ho
2 6 3
direct
0.5456 0.5456 0.3631
0.4544 0.4544 0.6369
0.9094 0.9094 0.2718
0.0906 0.0906 0.7282
0.8182 0.8182 0.5455
0.1818 0.1818 0.4545
0.6365 0.6365 0.0906
0.3635 0.3635 0.9094
0.0000 0.0000 0.0000
0.7271 0.7271 0.8188
0.2729 0.2729 0.1812